Below is MnCuSO after structural relaxation, with properties calculated at the GGA+U level. Values from VASP.

The structure in Quantum ESPRESSO input format:
```
&SYSTEM
  ibrav = 0, nat = 8, ntyp = 4
/
ATOMIC_SPECIES
S 32.06 S.upf
Mn 54.94 Mn.upf
O 16.00 O.upf
Cu 63.55 Cu.upf
ATOMIC_POSITIONS angstrom
S -0.330 -2.497 4.472
S 2.017 -4.624 3.202
Mn 2.602 -4.992 0.651
Mn 0.254 -2.864 1.919
O 1.820 -1.485 2.260
O 0.764 -4.023 0.252
Cu 0.934 -2.797 -1.244
Cu 1.989 -0.259 0.765
CELL_PARAMETERS angstrom
-0.931 -1.912 5.452
1.292 -4.665 -3.278
3.403 0.409 0.739
```

The calculation puts the total energy at -5.9478 eV per atom. As for the size of the total moment: 8.6 Bohr magnetons per cell.

=====

Below is MnCuSO after structural relaxation, with properties calculated at the GGA+U level. Values from VASP.

The structure in Quantum ESPRESSO input format:
```
&SYSTEM
  ibrav = 0, nat = 8, ntyp = 4
/
ATOMIC_SPECIES
S 32.06 S.upf
Mn 54.94 Mn.upf
O 16.00 O.upf
Cu 63.55 Cu.upf
ATOMIC_POSITIONS angstrom
S 4.107 4.884 5.725
S 0.818 3.179 3.340
Mn 5.222 1.466 1.022
Mn 1.646 4.878 5.730
O 3.735 1.475 2.281
O 1.245 1.460 0.436
Cu 2.836 3.178 2.543
Cu 5.141 1.486 3.760
CELL_PARAMETERS angstrom
5.645 0.007 -0.340
0.005 3.404 0.007
-0.159 1.715 6.203
```

The calculation puts the total energy at -5.8303 eV per atom. As for the size of the total moment: 8.6 Bohr magnetons per cell.

=====

Below is Sr3Mn2Cu2S2O5 after structural relaxation, with properties calculated at the GGA+U level. Values from VASP.

The structure in Quantum ESPRESSO input format:
```
&SYSTEM
  ibrav = 0, nat = 14, ntyp = 5
/
ATOMIC_SPECIES
Sr 87.62 Sr.upf
Mn 54.94 Mn.upf
Cu 63.55 Cu.upf
S 32.06 S.upf
O 16.00 O.upf
ATOMIC_POSITIONS angstrom
Sr 0.797 -0.823 2.535
Sr 2.454 2.596 3.125
Sr 5.779 6.991 6.560
Mn 5.774 9.451 4.308
Mn 2.459 0.137 5.377
Cu 2.926 5.279 5.374
Cu 5.307 4.309 4.310
S 3.916 3.146 5.896
S 4.317 6.442 3.788
O 5.055 11.381 8.214
O 0.985 1.271 4.683
O 3.365 0.301 3.619
O 7.248 8.317 5.002
O 4.868 9.287 6.066
CELL_PARAMETERS angstrom
-1.583 0.146 3.599
3.178 -1.793 1.471
6.638 11.235 4.615
```

The calculation puts the total energy at -6.1304 eV per atom. As for the size of the total moment: 8.1 Bohr magnetons per cell.